Compound: NpTlVO6
Source: the Alexandria database
Functional: PBE+U
Structure: relaxed

The calculation puts the total energy at -7.927 eV/atom. The calculation puts the density of states at the Fermi level at 3.83 states/eV/cell.

Unit cell a=5.171 b=6.112 c=6.057 alpha=92.20 beta=95.18 gamma=64.98
Element x y z (fractional)
V 0.610 0.781 0.500
O 0.646 0.993 0.339
O 0.361 0.993 0.661
O 0.081 0.348 0.266
Tl 0.027 0.946 0.000
O 0.435 0.622 0.348
O 0.571 0.349 0.734
O 0.943 0.622 0.652
Np 0.326 0.347 0.500